Computed, not measured: a geometry-optimized TlCo2Cu structure at the PBEsol level of DFT.

Cell and atoms, written as extended XYZ:
```
4
Lattice="-0.510 3.717 -0.242 -3.681 -0.465 0.608 0.571 0.319 3.701" Properties=species:S:1:pos:R:3 pbc="T T T"
Tl 0.285 0.160 1.850
Cu -1.810 1.786 2.033
Co -0.255 1.859 -0.121
Co -1.840 -0.232 0.304
```

Calculated values
- Space-group type: P4/mmm, No. 123
- Calculated formation energy: 0.446 eV/atom
- E_tot: -20.653 eV for the cell shown
- N(E_F): 7.1 states/eV/f.u.
- Total magnetization: 2.37 Bohr magnetons per cell

Computed, not measured: a geometry-optimized NaSrCoRe2 structure at the PBEsol level of DFT.

Cell and atoms, written as extended XYZ:
```
5
Lattice="-2.138 -1.823 3.533 2.444 -4.089 -0.631 3.455 1.615 2.924" Properties=species:S:1:pos:R:3 pbc="T T T"
Re 1.222 -2.045 -0.315
Na 0.000 0.000 0.000
Co -1.069 -0.911 1.767
Re 1.728 0.807 1.462
Sr 1.881 -2.149 2.913
```

Calculated values
- Space-group type: P4/mmm, No. 123
- Calculated formation energy: 2.623 eV/atom
- E_tot: -24.529 eV for the cell shown
- N(E_F): 9.0 states/eV/f.u.
- Total magnetization: 6.49 Bohr magnetons per cell

Computed, not measured: a geometry-optimized BaY2Au structure at the PBEsol level of DFT.

Cell and atoms, written as extended XYZ:
```
4
Lattice="3.948 0.000 0.000 0.000 5.246 0.114 0.000 -0.142 5.245" Properties=species:S:1:pos:R:3 pbc="T T T"
Y 0.000 -0.071 2.622
Ba 1.974 2.552 2.679
Y 0.000 2.623 0.057
Au 1.974 0.000 0.000
```

Calculated values
- Distance to the lowest polymorph of the same formula: 108.6 kJ/mol of formula units
- Space-group type: Cmmm, No. 65
- Calculated formation energy: 0.003 eV/atom
- E_tot: -19.703 eV for the cell shown
- N(E_F): 4.6 states/eV/f.u.
- Total magnetization: 0.00 Bohr magnetons per cell

Computed, not measured: a geometry-optimized AcH3 structure at the PBEsol level of DFT.

Cell and atoms, written as extended XYZ:
```
4
Lattice="4.037 0.000 0.000 2.019 3.496 0.000 2.019 1.165 3.296" Properties=species:S:1:pos:R:3 pbc="T T T"
H 2.019 1.165 0.824
H 4.037 2.331 1.648
H 6.056 3.496 2.472
Ac 0.000 0.000 0.000
```

Calculated values
- Space-group type: Fm-3m, No. 225
- E_tot: -16.741 eV for the cell shown
- Total magnetization: 0.00 Bohr magnetons per cell

Computed, not measured: a geometry-optimized In structure at the PBEsol level of DFT.

Cell and atoms, written as extended XYZ:
```
6
Lattice="5.828 0.000 0.000 -1.943 5.495 0.000 -1.943 -2.747 4.758" Properties=species:S:1:pos:R:3 pbc="T T T"
In -0.486 0.343 1.784
In -1.457 3.091 2.974
In 2.428 1.374 1.190
In 1.457 1.030 4.164
In 3.400 -1.374 3.569
In 0.486 3.778 0.595
```

Calculated values
- Distance to the lowest polymorph of the same formula: 1.6 kJ/mol of formula units
- Space-group type: I-43d, No. 220
- Calculated formation energy: 0.017 eV/atom
- E_tot: -17.798 eV for the cell shown
- N(E_F): 0.5 states/eV/f.u.
- Total magnetization: 0.00 Bohr magnetons per cell

Computed, not measured: a geometry-optimized LaCoSb structure at the PBEsol level of DFT.

Cell and atoms, written as extended XYZ:
```
3
Lattice="4.232 0.000 0.000 0.000 4.330 0.000 0.000 -2.165 3.750" Properties=species:S:1:pos:R:3 pbc="T T T"
Co 0.701 0.000 0.000
Sb 0.707 2.165 1.250
La 2.824 0.000 2.500
```

Calculated values
- Space-group type: P3m1, No. 156
- E_tot: -19.480 eV for the cell shown
- N(E_F): 3.9 states/eV/f.u.
- Total magnetization: 0.58 Bohr magnetons per cell
- Formation energy (no corrections): -59.2 kJ/mol of atoms

Computed, not measured: a geometry-optimized CsMoN2 structure at the PBEsol level of DFT.

Cell and atoms, written as extended XYZ:
```
32
Lattice="6.115 0.000 0.000 0.000 8.522 0.000 0.000 0.000 12.239" Properties=species:S:1:pos:R:3 pbc="T T T"
Mo 1.529 3.176 6.119
Cs 4.586 1.096 6.119
N 3.522 0.302 3.060
Mo 4.841 7.490 3.060
Cs 4.586 1.096 0.000
N 0.000 4.261 0.000
Cs 4.198 3.223 9.179
N 1.500 2.091 7.649
Cs 1.140 5.299 9.179
Cs 1.529 7.426 6.119
N 3.058 4.261 6.119
Cs 1.917 5.299 3.060
N 3.058 4.261 0.000
N 4.615 6.431 4.589
N 4.558 6.431 10.709
N 4.615 6.431 1.530
N 0.465 8.220 3.060
Mo 1.529 3.176 0.000
Cs 1.529 7.426 0.000
Mo 1.784 1.031 3.060
Cs 4.975 3.223 3.060
N 2.593 8.220 9.179
N 4.558 6.431 7.649
N 0.000 4.261 6.119
Mo 4.332 7.490 9.179
Mo 1.274 1.031 9.179
N 1.557 2.091 4.589
N 1.500 2.091 10.709
N 1.557 2.091 1.530
Mo 4.586 5.345 6.119
N 5.650 0.302 9.179
Mo 4.586 5.345 0.000
```

Calculated values
- Space-group type: Pbcm, No. 57
- E_tot: -256.266 eV for the cell shown
- N(E_F): 1.4 states/eV/f.u.
- Total magnetization: 0.00 Bohr magnetons per cell
- Formation energy (no corrections): -54.7 kJ/mol of atoms

Computed, not measured: a geometry-optimized KBI2N structure at the PBEsol level of DFT.

Cell and atoms, written as extended XYZ:
```
5
Lattice="5.021 0.000 0.000 0.000 6.320 0.000 0.000 0.000 6.320" Properties=species:S:1:pos:R:3 pbc="T T T"
I 0.000 0.000 3.160
K 0.000 0.000 0.000
B 2.511 3.160 3.160
N 2.511 0.000 0.000
I 0.000 3.160 0.000
```

Calculated values
- Space-group type: P4/mmm, No. 123
- E_tot: -11.380 eV for the cell shown
- N(E_F): 0.7 states/eV/f.u.
- Total magnetization: 3.01 Bohr magnetons per cell
- Formation energy (no corrections): 170.4 kJ/mol of atoms

Computed, not measured: a geometry-optimized Nd2CdS4 structure at the PBEsol level of DFT.

Cell and atoms, written as extended XYZ:
```
14
Lattice="-2.555 5.576 -3.971 -4.507 -1.513 5.549 6.484 1.659 2.931" Properties=species:S:1:pos:R:3 pbc="T T T"
S -0.320 5.368 -1.737
S 3.900 2.388 3.006
Nd 0.791 2.400 3.128
Nd -1.049 0.151 5.832
S -1.172 3.196 5.206
S -1.425 4.007 1.984
Cd -3.036 2.067 2.909
Nd 0.965 5.607 0.797
S -4.706 3.316 0.525
Nd -1.863 3.285 -0.740
S 1.608 1.770 5.786
S 0.823 2.541 0.280
Cd 0.000 0.000 0.000
S -1.018 0.297 2.984
```

Calculated values
- Space-group type: I-42d, No. 122
- E_tot: -80.680 eV for the cell shown
- N(E_F): 0.0 states/eV/f.u.
- Total magnetization: 0.00 Bohr magnetons per cell
- Formation energy (no corrections): -155.4 kJ/mol of atoms

Computed, not measured: a geometry-optimized AgHgSe2 structure at the PBEsol level of DFT.

Cell and atoms, written as extended XYZ:
```
4
Lattice="2.955 0.000 0.000 1.478 2.559 0.000 1.478 0.853 11.328" Properties=species:S:1:pos:R:3 pbc="T T T"
Se 1.478 0.853 8.815
Ag 0.000 0.000 0.000
Hg 2.955 1.706 5.664
Se 4.433 2.559 2.513
```

Calculated values
- Space-group type: R-3m, No. 166
- E_tot: -10.863 eV for the cell shown
- N(E_F): 1.6 states/eV/f.u.
- Total magnetization: 0.00 Bohr magnetons per cell
- Formation energy (no corrections): 17.3 kJ/mol of atoms

Computed, not measured: a geometry-optimized YScTl2 structure at the PBEsol level of DFT.

Cell and atoms, written as extended XYZ:
```
4
Lattice="-1.617 -1.908 2.331 -1.088 -3.137 -0.815 8.146 -5.613 3.562" Properties=species:S:1:pos:R:3 pbc="T T T"
Tl -2.661 -5.064 1.531
Tl 4.138 -8.018 3.828
Y 2.675 -5.309 2.524
Sc 1.306 -2.641 1.251
```

Calculated values
- Space-group type: R3m, No. 160
- Calculated formation energy: -0.070 eV/atom
- E_tot: -18.967 eV for the cell shown
- N(E_F): 4.1 states/eV/f.u.
- Total magnetization: 0.00 Bohr magnetons per cell

Computed, not measured: a geometry-optimized LiBeW2 structure at the PBEsol level of DFT.

Cell and atoms, written as extended XYZ:
```
4
Lattice="2.634 0.000 0.000 -0.749 2.525 0.000 0.000 0.000 8.464" Properties=species:S:1:pos:R:3 pbc="T T T"
W 0.943 1.263 6.162
Be 0.000 0.000 4.286
Li 0.943 1.263 2.283
W 0.000 0.000 8.430
```

Calculated values
- Space-group type: Cmm2, No. 35
- Calculated formation energy: 0.330 eV/atom
- E_tot: -32.263 eV for the cell shown
- N(E_F): 2.2 states/eV/f.u.
- Total magnetization: 0.00 Bohr magnetons per cell

Question: Number 6 is which compound?
Answer: LaCoSb